{
  "formula": "HfTaFe2O",
  "functional": "PBE+U",
  "state": "optimized geometry",
  "lattice": [[4.296, 0.000, 0.000], [0.000, 4.296, 0.000], [0.000, 0.000, 4.235]],
  "species": ["Hf", "Ta", "Fe", "Fe", "O"],
  "frac_coords": [[0.000, 0.000, 0.000], [0.500, 0.500, 0.000], [0.000, 0.500, 0.500], [0.500, 0.000, 0.500], [0.500, 0.500, 0.500]],
  "energy_ev_per_atom": -7.681,
  "total_magnetization_mub_per_cell": 6.5,
  "spacegroup": "No. 123",
  "crystal_system": "tetragonal"
}